DFT (PBE with a Hubbard U) results for a relaxed Nb2V2F crystal.

a b c (Å): 8.0670 8.0670 8.0670
angles (deg): 153.96 153.96 37.16
With the nearest neighbours (Å) after each atom.
Sites, in units of the cell vectors:
Nb1 0.2500 0.7500 0.5000  4 Nb 2.57
Nb2 0.7500 0.2500 0.5000  4 Nb 2.57
V1 0.0933 0.0933 0.0000  1 V 2.85, 4 F 2.94, 4 Nb 3.01
V2 0.9067 0.9067 0.0000  1 V 2.85, 4 F 2.94, 4 Nb 3.01
F1 0.5000 0.5000 0.0000  8 V 2.94

Results
Its spin magnetization is 6.004 μB/f.u. The energy above the most stable polymorph in this dataset is 145.9 kJ/mol of formula units. As for the density of states at the Fermi level: 3.6 states/eV/cell.